[1]
VASP calculation (PBE-GGA) on a relaxed structure of Pu4IrRu2.

Computed properties:
Its density of states at the Fermi level is 20.247 states/eV/f.u. The calculation puts the energy above the lowest structure with this stoichiometry at 174 meV/atom. For the energy of formation, the calculation gives -0.175 eV per formula unit.

Lattice parameters (Å, degrees): 4.842 5.025 7.270 90.00 70.55 90.00
Sites, in units of the cell vectors:
Ru: 0.804 0.500 0.393
Ru: 0.196 0.500 0.607
Pu: 0.393 0.500 0.214
Pu: 0.866 0.000 0.269
Pu: 0.134 0.000 0.731
Pu: 0.607 0.500 0.786
Ir: 0.500 0.000 0.000

---

[2]
VASP calculation (PBE-GGA) on a relaxed structure of Na4PrNp3Te8.

Computed properties:
Its density of states at the Fermi level is 23.238 states/eV/f.u. As for the formation energy (no corrections): -809 meV/atom.

Lattice parameters (Å, degrees): 10.770 13.032 7.733 124.49 134.14 90.00
Sites, in units of the cell vectors:
Np: 0.000 0.500 0.500
Np: 0.500 0.500 0.000
Np: 0.500 0.500 0.500
Te: 0.957 0.727 0.421
Te: 0.955 0.725 0.910
Te: 0.536 0.273 0.579
Te: 0.043 0.273 0.579
Te: 0.464 0.727 0.928
Te: 0.536 0.273 0.072
Te: 0.464 0.727 0.421
Te: 0.045 0.275 0.090
Pr: 0.000 0.500 0.000
Na: 0.000 0.000 0.500
Na: 0.500 0.000 0.000
Na: 0.500 0.000 0.500
Na: 0.000 0.000 0.000

---

[3]
VASP calculation (PBE-GGA) on a relaxed structure of Li2ScPt3.

Computed properties:
Its density of states at the Fermi level is 1.728 states/eV/f.u. For the energy of formation, the calculation gives -5.127 eV per formula unit.

Lattice parameters (Å, degrees): 6.520 6.520 6.981 90.00 90.00 142.97
Sites, in units of the cell vectors:
Pt: 0.166 0.834 0.257
Pt: 0.500 0.500 0.269
Pt: 0.166 0.834 0.743
Pt: 0.834 0.166 0.743
Pt: 0.834 0.166 0.257
Pt: 0.500 0.500 0.731
Sc: 0.345 0.655 0.000
Sc: 0.655 0.345 0.000
Li: 0.000 0.000 0.000
Li: 0.330 0.670 0.500
Li: 0.000 0.000 0.500
Li: 0.670 0.330 0.500

---

[4]
VASP calculation (PBE-GGA) on a relaxed structure of SrNd6Y8.

Computed properties:
Its density of states at the Fermi level is 21.852 states/eV/f.u. For the energy of formation, the calculation gives 3.232 eV per formula unit.

Lattice parameters (Å, degrees): 8.359 8.359 8.359 72.33 72.33 72.33
Sites, in units of the cell vectors:
Y: 0.621 0.946 0.136
Y: 0.236 0.236 0.236
Y: 0.136 0.621 0.946
Y: 0.946 0.136 0.621
Y: 0.764 0.764 0.764
Y: 0.864 0.379 0.054
Y: 0.054 0.864 0.379
Y: 0.379 0.054 0.864
Nd: 0.435 0.616 0.172
Nd: 0.616 0.172 0.435
Nd: 0.384 0.828 0.565
Nd: 0.828 0.565 0.384
Nd: 0.172 0.435 0.616
Nd: 0.565 0.384 0.828
Sr: 0.000 0.000 0.000